VASP calculation (PBE) on a relaxed NiAgGe2 crystal.

Unit cell a=8.6727 b=8.6727 c=8.6727 alpha=152.50 beta=152.50 gamma=39.29
Last column: nearest neighbours and their distance in Å.
Fractional positions:
Ni: 0.0000 0.0000 0.0000  4 Ge 2.44
Ni: 0.7500 0.2500 0.5000  4 Ge 2.44
Ag: 0.2500 0.7500 0.5000  4 Ge 2.59
Ag: 0.5000 0.5000 0.0000  4 Ge 2.59
Ge: 0.0814 0.6250 0.9564  2 Ni 2.44, 2 Ag 2.59, 2 Ge 2.67
Ge: 0.3750 0.3314 0.4564  2 Ni 2.44, 2 Ag 2.59, 2 Ge 2.67
Ge: 0.6686 0.1250 0.0436  2 Ni 2.44, 2 Ag 2.59, 2 Ge 2.67
Ge: 0.8750 0.9186 0.5436  2 Ni 2.44, 2 Ag 2.59, 2 Ge 2.67

Output
DFT formation energy (eV/atom): 0.15
Total moment (μB/cell): 0.0
SG: I-42d, No. 122
Polymorph energy (0 for the lowest one) (meV per atom): 115


VASP calculation (PBE) on a relaxed TeSCl crystal.

Unit cell a=4.3538 b=6.5383 c=7.6282 alpha=98.75 beta=100.33 gamma=100.27
Last column: nearest neighbours and their distance in Å.
Fractional positions:
Te: 0.2329 0.0157 0.2897  1 S 2.32, 1 Cl 2.52
Te: 0.7671 0.9843 0.7103  1 S 2.32, 1 Cl 2.52
S: 0.3418 0.2291 0.5748  1 Te 2.32
S: 0.6582 0.7709 0.4252  1 Te 2.32
Cl: 0.0764 0.7447 0.8619  1 Te 2.52
Cl: 0.9236 0.2553 0.1381  1 Te 2.52

Output
Total moment (μB/cell): 0.0
SG: P-1, No. 2
Energy relative to the elements, uncorrected (eV per atom): -0.1934
Polymorph energy (0 for the lowest one) (meV per atom): 0


- What is the formula in the second record?
  TeSCl


- total moment of number 2 (TeSCl)?
  0.0 μB/cell


- total moment of number 1 (NiAgGe2)?
  0.0 μB/cell